First-principles (PBE-GGA) data for a relaxed structure of TbEuCdIr, as listed in Alexandria via LeMat-Bulk.

Geometry as POSCAR:
```
TbEuCdIr
1.0
-0.266 0.509 5.084
4.235 -0.427 2.839
1.989 4.134 2.265
Tb Cd Ir Eu
1 1 1 1
Cartesian
0.000 0.000 0.000 Tb
4.468 3.162 7.642 Cd
1.489 1.054 2.547 Ir
2.979 2.108 5.094 Eu
```

Calculated values
ΔH_f (0 K) = -1.49 eV per formula unit
E_tot = -6.543 eV/atom
Magnetization = 1.72 μB/atom

First-principles (PBE-GGA) data for a relaxed structure of Tc2AgIr, as listed in Alexandria via LeMat-Bulk.

Geometry as POSCAR:
```
Tc2AgIr
1.0
-3.035 4.917 -1.977
-2.413 -3.672 2.136
-0.911 1.709 1.908
Tc Ag Ir
2 1 1
Cartesian
0.000 0.000 0.000 Tc
-1.973 3.313 -0.034 Tc
-1.662 -0.981 2.022 Ag
-2.724 0.623 0.079 Ir
```

Calculated values
Relative energy among the computed polymorphs = 0.834 eV/f.u.
ΔH_f (0 K) = 1.39 eV per formula unit
E_tot = -7.764 eV/atom
Magnetization = 0.00 μB/atom

First-principles (PBE-GGA) data for a relaxed structure of YSi2TeC, as listed in Alexandria via LeMat-Bulk.

Geometry as POSCAR:
```
YSi2TeC
1.0
-3.828 -1.264 3.120
0.725 -5.509 -1.343
3.304 -0.504 3.849
Si C Te Y
2 1 1 1
Cartesian
-1.914 -0.632 1.560 Si
1.652 -0.252 1.925 Si
0.100 -3.638 2.813 C
0.000 0.000 0.000 Te
0.362 -2.754 -0.671 Y
```

Calculated values
E_tot = -3.900 eV/atom
Magnetization = 0.25 μB/atom

First-principles (PBE-GGA) data for a relaxed structure of Mg2ZrBe, as listed in Alexandria via LeMat-Bulk.

Geometry as POSCAR:
```
Mg2ZrBe
1.0
-4.309 1.185 -6.174
-4.526 -5.781 2.049
-5.979 -0.571 -0.641
Mg Zr Be
4 2 2
Cartesian
-5.115 -3.538 -0.015 Mg
-8.064 -2.492 -1.907 Mg
-4.500 -0.194 -3.400 Mg
-11.948 -4.109 -4.211 Mg
-7.353 -0.842 -4.439 Zr
0.000 0.000 0.000 Zr
-7.461 -4.325 -0.328 Be
-4.417 -2.298 -2.063 Be
```

Calculated values
ΔH_f (0 K) = 1.78 eV per formula unit
E_tot = -3.421 eV/atom
Magnetization = 0.00 μB/atom

First-principles (PBE-GGA) data for a relaxed structure of YGa8Ir2, as listed in Alexandria via LeMat-Bulk.

Geometry as POSCAR:
```
YGa8Ir2
1.0
-5.179 2.942 2.025
-2.715 -0.924 -5.600
-1.972 -4.659 1.725
Ir Ga Y
2 8 1
Cartesian
-1.357 -0.462 -2.800 Ir
-2.590 1.471 1.013 Ir
-5.158 0.953 0.855 Ga
-3.731 -1.286 -3.560 Ga
-4.708 -3.594 -2.705 Ga
-3.136 -3.059 0.537 Ga
-6.730 0.418 -2.387 Ga
-7.707 -1.890 -1.533 Ga
-2.159 -0.751 -0.317 Ga
-6.135 -1.355 1.710 Ga
-4.933 -1.320 -0.925 Y
```

Calculated values
ΔH_f (0 K) = -2.34 eV per formula unit
E_tot = -4.612 eV/atom
Magnetization = 0.00 μB/atom

First-principles (PBE-GGA) data for a relaxed structure of HoPaGaRh, as listed in Alexandria via LeMat-Bulk.

Geometry as POSCAR:
```
HoPaGaRh
1.0
-0.530 4.622 1.702
-3.411 0.992 3.452
1.401 1.114 4.619
Ho Ga Pa Rh
1 1 1 1
Cartesian
-0.635 1.682 2.443 Ho
0.000 0.000 0.000 Ga
-1.905 5.046 7.330 Pa
-1.270 3.364 4.886 Rh
```

Calculated values
ΔH_f (0 K) = -1.73 eV per formula unit
E_tot = -6.545 eV/atom
Magnetization = 0.00 μB/atom

First-principles (PBE-GGA) data for a relaxed structure of Ho3SbP2Rh9, as listed in Alexandria via LeMat-Bulk.

Geometry as POSCAR:
```
Ho3SbP2Rh9
1.0
-4.067 0.430 -4.463
5.468 -2.352 -1.103
-3.186 -8.391 2.095
Ho Rh P Sb
3 9 2 1
Cartesian
-1.748 -2.761 -2.778 Ho
-0.037 -7.551 -0.694 Ho
0.000 0.000 0.000 Ho
2.734 -1.176 -0.552 Rh
-1.955 -7.394 -3.036 Rh
0.939 -3.972 -3.489 Rh
-2.033 0.215 -2.232 Rh
-2.724 -6.340 0.017 Rh
3.169 -4.208 -1.041 Rh
0.701 -0.961 -2.783 Rh
0.170 -2.918 -0.436 Rh
-4.954 -6.105 -2.431 Rh
1.779 -2.770 -1.887 P
-3.564 -7.542 -1.585 P
-1.593 -4.195 1.047 Sb
```

Calculated values
E_tot = -6.999 eV/atom
Magnetization = 0.00 μB/atom

First-principles (PBE-GGA) data for a relaxed structure of TmZr4Sc8, as listed in Alexandria via LeMat-Bulk.

Geometry as POSCAR:
```
TmZr4Sc8
1.0
0.655 5.821 -2.718
-3.143 -4.696 -3.135
-7.191 0.349 6.685
Zr Sc Tm
4 8 1
Cartesian
0.328 2.911 -1.359 Zr
-1.571 -2.348 -1.567 Zr
-1.244 0.563 -2.926 Zr
0.000 0.000 0.000 Zr
-6.977 2.425 -0.128 Sc
-4.893 1.668 2.405 Sc
-7.290 -0.346 1.166 Sc
-4.785 -0.194 -1.572 Sc
-4.348 -3.411 -0.682 Sc
-5.330 4.885 1.515 Sc
-2.388 1.820 -0.333 Sc
-2.701 -0.951 0.960 Sc
-5.167 -2.174 1.775 Tm
```

Calculated values
ΔH_f (0 K) = 3.68 eV per formula unit
E_tot = -6.587 eV/atom
Magnetization = 0.00 μB/atom